No. 1
Below is a geometry-optimized Ba4Li5 structure, with properties calculated at the GGA-PBE level.

Computed properties:
crystal system = hexagonal
E = -32.30 eV/cell
E_form = 0.1234 eV/atom

Unit cell a=10.8385 b=10.8385 c=7.5671 alpha=90.00 beta=90.00 gamma=120.00
Space group P6_3/mcm (No. 193)
Inequivalent atoms, fractional coordinates:
1 Ba 0.0000 0.0000 0.0000 [2 per cell]
2 Ba 0.0000 0.3631 0.2500 [6 per cell]
3 Li 0.0000 0.3080 0.7500 [6 per cell]
4 Li 0.3333 0.6667 0.0000 [4 per cell]

=====

No. 2
Below is a geometry-optimized LaTbIn2 structure, with properties calculated at the GGA-PBE level.

Computed properties:
crystal system = tetragonal
E = -17.05 eV/cell
E_form = -0.5041 eV/atom

Unit cell a=3.849 b=3.849 c=7.778 alpha=90.00 beta=90.00 gamma=90.00
Space group P4/mmm (No. 123)
Inequivalent atoms, fractional coordinates:
1 La 0.000 0.000 0.000 [1 per cell]
2 Tb 0.000 0.000 0.500 [1 per cell]
3 In 0.500 0.500 0.268 [2 per cell]

=====

No. 3
Below is a geometry-optimized Pm3PrU2N6 structure, with properties calculated at the GGA-PBE level.

Computed properties:
crystal system = monoclinic
formation energy (no corrections) = -1.415 eV/atom
E = -217.08 eV/cell

Unit cell a=15.466 b=3.554 c=7.136 alpha=90.00 beta=103.27 gamma=90.00
Space group C2/m (No. 12)
Inequivalent atoms, fractional coordinates:
1 Pm 0.000 0.000 0.000 [2 per cell]
2 Pm 0.167 0.500 0.335 [4 per cell]
3 Pr 0.000 0.000 0.500 [2 per cell]
4 U 0.168 0.500 0.833 [4 per cell]
5 N 0.020 0.500 0.766 [4 per cell]
6 N 0.169 0.000 0.614 [4 per cell]
7 N 0.174 0.000 0.065 [4 per cell]